Na4Tl2In2Sn, optimized geometry, DFT GGA-PBE; E_tot = -20.312 eV/f.u.; formation enthalpy at 0 K = -0.092 eV/atom; SG = P-1 (2)
1.0
6.0544 0.0000 0.0000
0.8382 6.0861 0.0000
2.1576 2.4055 7.0384
Na Tl In Sn
4 2 2 1
Cartesian
1.3133 1.8024 1.9792
3.0951 3.3819 5.7777
5.9551 5.1098 1.2608
7.7369 6.6893 5.0592
3.0512 4.5675 2.6680
5.9989 3.9242 4.3704
4.5495 6.3445 6.4888
4.5007 2.1472 0.5496
4.1060 1.2028 3.5192

=====

Pm12SiGe7, optimized geometry, DFT GGA-PBE; E_tot = -102.632 eV/f.u.; SG = Im-3 (204); raw formation energy = -0.39 eV/atom
1.0
-5.4458 5.4458 5.4458
5.4458 -5.4458 5.4458
5.4458 5.4458 -5.4458
Pm Si Ge
12 1 7
Cartesian
5.4458 -2.1833 3.4786
3.2625 1.9672 0.0000
7.6292 1.9672 0.0000
3.4786 5.4458 -2.1833
1.9672 0.0000 3.2625
0.0000 3.2625 1.9672
5.4458 2.1833 3.4786
3.4786 5.4458 2.1833
1.9672 0.0000 7.6292
-2.1833 3.4786 5.4458
2.1833 3.4786 5.4458
0.0000 7.6292 1.9672
0.0000 0.0000 0.0000
2.7229 2.7229 -2.7229
2.7229 -2.7229 2.7229
5.4458 0.0000 0.0000
-2.7229 2.7229 2.7229
0.0000 5.4458 0.0000
0.0000 0.0000 5.4458
2.7229 2.7229 2.7229